BiAs2Pb at its PBEsol-relaxed geometry, computed with SCAN.

ΔE_f	330	meV per atom

Cell: 7.2675 7.2675 7.2675 Å, 90.00 90.00 90.00°
Space group Fm-3m (No. 225)
One atom of each set of equivalent atoms:
Bi: 0.0000 0.0000 0.0000
As: 0.2500 0.2500 0.2500
Pb: 0.0000 0.0000 0.5000